(1)
## LiHg3 (GGA-PBEsol)

Data for a relaxed LiHg3 crystal.

Unit cell a=3.2287 b=3.2287 c=9.3280 alpha=90.00 beta=90.00 gamma=120.00
Space group P-6m2 (No. 187)
Asymmetric unit:
Li (0.0000, 0.0000, 0.0000) (multiplicity 1)
Hg (0.0000, 0.0000, 0.5000) (multiplicity 1)
Hg (0.6667, 0.3333, 0.2252) (multiplicity 2)

Results
Calculated volume ... 21.054 A^3/atom
Size of the total moment ... 0.00 μB per cell
ΔE_f ... -0.79 eV per formula unit
DOS at the Fermi energy ... 1.2 states/eV per cell

(2)
## LiHg3 (GGA-PBEsol)

Data for a relaxed LiHg3 crystal.

Unit cell a=4.885 b=6.374 c=5.226 alpha=90.00 beta=90.00 gamma=90.00
Space group Pmmn (No. 59, origin choice 2)
Asymmetric unit:
Li (0.250, 0.250, 0.168) (multiplicity 2)
Hg (0.250, 0.001, 0.672) (multiplicity 4)
Hg (0.250, 0.750, 0.156) (multiplicity 2)

Results
Calculated volume ... 20.338 A^3/atom
Size of the total moment ... 0.00 μB per cell
ΔE_f ... -1.02 eV per formula unit
DOS at the Fermi energy ... 2.4 states/eV per cell

(3)
## LiHg2 (GGA-PBEsol)

Data for a relaxed LiHg2 crystal.

Unit cell a=4.7772 b=4.7772 c=5.8685 alpha=90.00 beta=90.00 gamma=120.00
Space group P6_3/mmc (No. 194)
Asymmetric unit:
Li (0.3333, 0.6667, 0.2500) (multiplicity 2)
Hg (0.0000, 0.0000, 0.0000) (multiplicity 2)
Hg (0.3333, 0.6667, 0.7500) (multiplicity 2)

Results
Calculated volume ... 19.331 A^3/atom
Size of the total moment ... 0.00 μB per cell
ΔE_f ... -0.90 eV per formula unit
DOS at the Fermi energy ... 1.6 states/eV per cell

(4)
## LiHg3 (GGA-PBEsol)

Data for a relaxed LiHg3 crystal.

Unit cell a=3.2784 b=3.2784 c=27.5030 alpha=90.00 beta=90.00 gamma=120.00
Space group R-3m (No. 166, hexagonal axes)
Asymmetric unit:
Li (0.0000, 0.0000, 0.0000) (multiplicity 3)
Hg (0.0000, 0.0000, 0.2579) (multiplicity 6)
Hg (0.0000, 0.0000, 0.5000) (multiplicity 3)

Results
Calculated volume ... 21.333 A^3/atom
Size of the total moment ... 0.00 μB per cell
ΔE_f ... -0.80 eV per formula unit
DOS at the Fermi energy ... 3.6 states/eV per cell

(5)
## LiHg3 (GGA-PBEsol)

Data for a relaxed LiHg3 crystal.

Unit cell a=4.455 b=4.455 c=8.308 alpha=90.00 beta=90.00 gamma=90.00
Space group I4/mmm (No. 139)
Asymmetric unit:
Li (0.000, 0.000, 0.000) (multiplicity 2)
Hg (0.000, 0.000, 0.500) (multiplicity 2)
Hg (0.000, 0.500, 0.250) (multiplicity 4)

Results
Calculated volume ... 20.608 A^3/atom
Size of the total moment ... 0.00 μB per cell
ΔE_f ... -0.98 eV per formula unit
DOS at the Fermi energy ... 2.0 states/eV per cell

(6)
## Li2Hg3 (GGA-PBEsol)

Data for a relaxed Li2Hg3 crystal.

Unit cell a=4.5160 b=4.5160 c=5.5569 alpha=90.00 beta=90.00 gamma=120.00
Space group P-3m1 (No. 164)
Asymmetric unit:
Li (0.3333, 0.6667, 0.3397) (multiplicity 2)
Hg (0.0000, 0.0000, 0.5000) (multiplicity 1)
Hg (0.3333, 0.6667, 0.8478) (multiplicity 2)

Results
Calculated volume ... 19.629 A^3/atom
Size of the total moment ... 0.00 μB per cell
ΔE_f ... -1.47 eV per formula unit
DOS at the Fermi energy ... 1.7 states/eV per cell
Energy above the lowest structure with this stoichiometry ... 0 kJ/mol of formula units

(7)
## LiHg3 (GGA-PBEsol)

Data for a relaxed LiHg3 crystal.

Unit cell a=6.006 b=8.427 c=3.350 alpha=90.00 beta=90.00 gamma=90.00
Space group Cmmm (No. 65)
Asymmetric unit:
Li (0.000, 0.000, 0.000) (multiplicity 2)
Hg (0.000, 0.500, 0.000) (multiplicity 2)
Hg (0.250, 0.250, 0.500) (multiplicity 4)

Results
Calculated volume ... 21.191 A^3/atom
Size of the total moment ... 0.00 μB per cell
ΔE_f ... -0.79 eV per formula unit
DOS at the Fermi energy ... 2.3 states/eV per cell

(8)
## Li5Hg (GGA-PBEsol)

Data for a relaxed Li5Hg crystal.

Unit cell a=4.162 b=12.226 c=4.186 alpha=90.00 beta=90.00 gamma=90.00
Space group Cmmm (No. 65)
Asymmetric unit:
Li (0.000, 0.000, 0.000) (multiplicity 2)
Li (0.000, 0.161, 0.500) (multiplicity 4)
Li (0.000, 0.342, 0.000) (multiplicity 4)
Hg (0.000, 0.500, 0.500) (multiplicity 2)

Results
Calculated volume ... 17.750 A^3/atom
Size of the total moment ... 0.00 μB per cell
ΔE_f ... -1.21 eV per formula unit
DOS at the Fermi energy ... 4.7 states/eV per cell

(9)
## LiHg2 (GGA-PBEsol)

Data for a relaxed LiHg2 crystal.

Unit cell a=4.8656 b=4.8656 c=3.0376 alpha=90.00 beta=90.00 gamma=120.00
Space group P6/mmm (No. 191)
Asymmetric unit:
Li (0.0000, 0.0000, 0.0000) (multiplicity 1)
Hg (0.3333, 0.6667, 0.5000) (multiplicity 2)

Results
Calculated volume ... 20.760 A^3/atom
Size of the total moment ... 0.00 μB per cell
ΔE_f ... -0.86 eV per formula unit
DOS at the Fermi energy ... 0.9 states/eV per cell

(10)
## LiHg3 (GGA-PBEsol)

Data for a relaxed LiHg3 crystal.

Unit cell a=3.354 b=9.802 c=5.078 alpha=90.00 beta=90.00 gamma=90.00
Space group Imm2 (No. 44)
Asymmetric unit:
Li (0.000, 0.000, 0.000) (multiplicity 2)
Hg (0.000, 0.274, 0.613) (multiplicity 4)
Hg (0.000, 0.500, 0.035) (multiplicity 2)

Results
Calculated volume ... 20.869 A^3/atom
Size of the total moment ... 0.00 μB per cell
ΔE_f ... -0.83 eV per formula unit
DOS at the Fermi energy ... 2.5 states/eV per cell

(11)
## LiHg (GGA-PBEsol)

Data for a relaxed LiHg crystal.

Unit cell a=3.024 b=10.787 c=4.628 alpha=90.00 beta=90.00 gamma=90.00
Space group Cmcm (No. 63)
Asymmetric unit:
Li (0.000, 0.160, 0.250) (multiplicity 4)
Hg (0.000, 0.414, 0.250) (multiplicity 4)

Results
Calculated volume ... 18.869 A^3/atom
Size of the total moment ... 0.00 μB per cell
ΔE_f ... -0.73 eV per formula unit
DOS at the Fermi energy ... 2.9 states/eV per cell

(12)
## Li5Hg (GGA-PBEsol)

Data for a relaxed Li5Hg crystal.

Unit cell a=3.383 b=3.383 c=9.775 alpha=90.00 beta=90.00 gamma=90.00
Space group P4/mmm (No. 123)
Asymmetric unit:
Li (0.000, 0.000, 0.000) (multiplicity 1)
Li (0.000, 0.000, 0.356) (multiplicity 2)
Li (0.500, 0.500, 0.187) (multiplicity 2)
Hg (0.500, 0.500, 0.500) (multiplicity 1)

Results
Calculated volume ... 18.645 A^3/atom
Size of the total moment ... 0.00 μB per cell
ΔE_f ... -1.00 eV per formula unit
DOS at the Fermi energy ... 2.8 states/eV per cell

(13)
## LiHg2 (GGA-PBEsol)

Data for a relaxed LiHg2 crystal.

Unit cell a=12.387 b=12.387 c=12.387 alpha=90.00 beta=90.00 gamma=90.00
Space group Fd-3m (No. 227, origin choice 2)
Asymmetric unit:
Li (0.033, 0.033, 0.217) (multiplicity 32)
Hg (0.000, 0.000, 0.000) (multiplicity 16)
Hg (0.060, 0.375, 0.875) (multiplicity 48)

Results
Calculated volume ... 19.797 A^3/atom
Size of the total moment ... 0.00 μB per cell
ΔE_f ... -0.72 eV per formula unit
DOS at the Fermi energy ... 34.9 states/eV per cell

(14)
## LiHg (GGA-PBEsol)

Data for a relaxed LiHg crystal.

Unit cell a=5.231 b=5.231 c=5.231 alpha=90.00 beta=90.00 gamma=90.00
Space group P2_13 (No. 198)
Asymmetric unit:
Li (0.096, 0.096, 0.096) (multiplicity 4)
Hg (0.095, 0.595, 0.905) (multiplicity 4)

Results
Calculated volume ... 17.897 A^3/atom
Size of the total moment ... 0.00 μB per cell
ΔE_f ... -0.74 eV per formula unit
DOS at the Fermi energy ... 2.5 states/eV per cell

(15)
## LiHg (GGA-PBEsol)

Data for a relaxed LiHg crystal.

Unit cell a=3.253 b=3.253 c=3.253 alpha=90.00 beta=90.00 gamma=90.00
Space group Pm-3m (No. 221)
Asymmetric unit:
Li (0.000, 0.000, 0.000) (multiplicity 1)
Hg (0.500, 0.500, 0.500) (multiplicity 1)

Results
Calculated volume ... 17.216 A^3/atom
Size of the total moment ... 0.00 μB per cell
ΔE_f ... -0.85 eV per formula unit
DOS at the Fermi energy ... 0.6 states/eV per cell

(16)
## LiHg (GGA-PBEsol)

Data for a relaxed LiHg crystal.

Unit cell a=3.490 b=3.490 c=6.019 alpha=90.00 beta=90.00 gamma=90.00
Space group P4/nmm (No. 129, origin choice 2)
Asymmetric unit:
Li (0.250, 0.250, 0.137) (multiplicity 2)
Hg (0.250, 0.250, 0.661) (multiplicity 2)

Results
Calculated volume ... 18.331 A^3/atom
Size of the total moment ... 0.00 μB per cell
ΔE_f ... -0.67 eV per formula unit
DOS at the Fermi energy ... 1.4 states/eV per cell

(17)
## LiHg3 (GGA-PBEsol)

Data for a relaxed LiHg3 crystal.

Unit cell a=9.774 b=3.383 c=5.217 alpha=90.00 beta=103.21 gamma=90.00
Space group C2/m (No. 12)
Asymmetric unit:
Li (0.000, 0.000, 0.000) (multiplicity 2)
Hg (0.000, 0.500, 0.500) (multiplicity 2)
Hg (0.239, 0.500, 0.234) (multiplicity 4)

Results
Calculated volume ... 20.992 A^3/atom
Size of the total moment ... 0.00 μB per cell
ΔE_f ... -0.86 eV per formula unit
DOS at the Fermi energy ... 2.4 states/eV per cell

(18)
## LiHg (GGA-PBEsol)

Data for a relaxed LiHg crystal.

Unit cell a=3.189 b=3.939 c=5.870 alpha=90.00 beta=90.00 gamma=90.00
Space group Pmmn (No. 59, origin choice 2)
Asymmetric unit:
Li (0.250, 0.250, 0.141) (multiplicity 2)
Hg (0.250, 0.250, 0.660) (multiplicity 2)

Results
Calculated volume ... 18.434 A^3/atom
Size of the total moment ... 0.00 μB per cell
ΔE_f ... -0.66 eV per formula unit
DOS at the Fermi energy ... 1.5 states/eV per cell

(19)
## LiHg3 (GGA-PBEsol)

Data for a relaxed LiHg3 crystal.

Unit cell a=3.429 b=3.448 c=6.970 alpha=90.00 beta=90.00 gamma=90.00
Space group Pmmm (No. 47)
Asymmetric unit:
Li (0.000, 0.000, 0.000) (multiplicity 1)
Hg (0.000, 0.000, 0.500) (multiplicity 1)
Hg (0.500, 0.500, 0.224) (multiplicity 2)

Results
Calculated volume ... 20.602 A^3/atom
Size of the total moment ... 0.00 μB per cell
ΔE_f ... -0.94 eV per formula unit
DOS at the Fermi energy ... 1.0 states/eV per cell

(20)
## Li17Hg12 (GGA-PBEsol)

Data for a relaxed Li17Hg12 crystal.

Unit cell a=10.260 b=10.260 c=10.260 alpha=90.00 beta=90.00 gamma=90.00
Space group I-43m (No. 217)
Asymmetric unit:
Li (0.000, 0.000, 0.000) (multiplicity 2)
Li (0.053, 0.363, 0.363) (multiplicity 24)
Li (0.175, 0.175, 0.825) (multiplicity 8)
Hg (0.098, 0.098, 0.299) (multiplicity 24)

Results
Calculated volume ... 18.624 A^3/atom
Size of the total moment ... 0.00 μB per cell
ΔE_f ... -9.61 eV per formula unit
DOS at the Fermi energy ... 23.4 states/eV per cell

Number 1: raw total energy -4.462 eV for the cell shown. Number 2: raw total energy -9.367 eV for the cell shown. Number 3: raw total energy -8.007 eV for the cell shown. Number 4: raw total energy -13.393 eV for the cell shown. Number 5: raw total energy -9.285 eV for the cell shown. Number 6: raw total energy -7.099 eV for the cell shown. Number 7: raw total energy -8.924 eV for the cell shown. Number 8: raw total energy -23.221 eV for the cell shown. Number 9: raw total energy -3.962 eV for the cell shown. Number 10: raw total energy -8.991 eV for the cell shown. Number 11: raw total energy -13.045 eV for the cell shown. Number 12: raw total energy -11.404 eV for the cell shown. Number 13: raw total energy -122.180 eV for the cell shown. Number 14: raw total energy -13.077 eV for the cell shown. Number 15: raw total energy -3.387 eV for the cell shown. Number 16: raw total energy -6.400 eV for the cell shown. Number 17: raw total energy -9.047 eV for the cell shown. Number 18: raw total energy -6.393 eV for the cell shown. Number 19: raw total energy -4.605 eV for the cell shown. Number 20: raw total energy -99.691 eV for the cell shown.